a) Material: TiCrRu3
Method: DFT, PBE
State: optimized geometry

The structure in extended XYZ format:
```
5
Lattice="-2.948 2.827 1.718 -2.597 -0.552 -3.548 -2.049 -3.367 2.024" Properties=species:S:1:pos:R:3 pbc="T T T"
Ti 0.000 0.000 0.000
Ru -1.298 -0.276 -1.774
Cr -3.797 -0.546 0.097
Ru -1.474 1.413 0.859
Ru -1.025 -1.684 1.012
```

Properties
V, Å³ per cell: 86.99


b) Material: TiCrRu3
Method: DFT, PBE
State: optimized geometry

The structure in extended XYZ format:
```
5
Lattice="4.385 0.000 0.000 0.000 4.385 0.000 0.000 0.000 4.385" Properties=species:S:1:pos:R:3 pbc="T T T"
Ru 0.000 2.192 0.000
Ru 0.000 0.000 2.192
Ti 2.192 2.192 2.192
Cr 0.000 0.000 0.000
Ru 2.192 0.000 0.000
```

Properties
V, Å³ per cell: 84.31


Relative energies, meV/atom: a) 605; b) 0.